This record from Alexandria describes a relaxed Sm2NbN crystal. The functional is PBE.

Summary:
Calculated density, kg/m3: 7702
Formation energy from raw total energies, eV/atom: -0.15
E_tot, eV/atom: -7.108
SG: R-3m, No. 166

a b c (Å): 3.356 3.356 9.218
angles (deg): 79.51 79.51 60.00
Each line ends with the local moment (μB).
Fractional coordinates of all 4 atoms:
Nb 0.000 0.000 0.000  0.75
Sm 0.886 0.886 0.341  0.04
Sm 0.114 0.114 0.659  0.04
N 0.500 0.500 0.500  0.01